Density functional theory data (PBE) for Ni2HgRu after structural relaxation.

Values from the calculation:
Crystal system = tetragonal
Volume = 126.99 Å³/cell
Formation energy = 0.715 eV per atom
E_tot = -36.6 eV per cell

Geometry as POSCAR:
```
Ni2HgRu
1.0
6.859 0.000 0.000
0.000 6.859 0.000
3.430 3.430 2.699
Hg Ni Ru
2 4 2
Cartesian
0.000 0.000 0.000
6.859 3.430 1.350
1.899 5.145 0.675
5.145 5.328 2.024
8.574 8.390 2.024
4.961 1.715 0.675
3.430 3.430 0.000
3.430 6.859 1.350
```